# KCu2Pt

A relaxed KCu2Pt crystal (PBEsol, Alexandria).

DOS at the Fermi energy = 1.9 states/eV/cell
SG = Immm (71)
formation energy = 0.43 eV per atom
crystal system = orthorhombic
volume = 73.5 Å³ per cell

abc: 2.674 5.309 5.968
angles: 116.41 102.94 90.00
Fractional positions:
Cu1 0.293 0.293 0.585
Cu2 0.707 0.707 0.415
K1 0.500 0.000 0.000
Pt1 0.000 0.500 0.000